Model P:
## SbH3Br (PBE)

Data for crystalline SbH3Br at its relaxed geometry.

Values from the calculation:
DOS at the Fermi energy (states/eV/cell): 1.005

Unit cell a=4.000 b=4.000 c=4.000 alpha=90.00 beta=90.00 gamma=90.00
Space group Pm-3m (No. 221)
Unique sites:
Sb1 0.000 0.000 0.000
H1 0.000 0.000 0.500
Br1 0.500 0.500 0.500

***

Model Q:
## SbH3Br (PBE)

Data for crystalline SbH3Br at its relaxed geometry.

Values from the calculation:
DOS at the Fermi energy (states/eV/cell): 3.669

Unit cell a=3.987 b=3.987 c=3.987 alpha=90.00 beta=90.00 gamma=90.00
Space group Pm-3m (No. 221)
Unique sites:
Sb1 0.000 0.000 0.000
H1 0.000 0.500 0.500
Br1 0.500 0.500 0.500

***

It is model Q that is the least stable of them.